(1)
KH3Cl (PBE-GGA, relaxed); density = 1.85 g/cm3; excess energy over the best structure of this formula in the dataset = 0.000 eV/atom; final energy = -10.391 eV/cell
1.0
4.1111 0.0000 0.0000
0.0000 4.1111 0.0000
0.0000 0.0000 4.1111
K H Cl
1 3 1
Direct
0.0000 0.0000 0.0000
0.0000 0.5000 0.5000
0.5000 0.0000 0.5000
0.5000 0.5000 0.0000
0.5000 0.5000 0.5000

(2)
K5HCl4 (PBE-GGA, relaxed); density = 1.83 g/cm3; excess energy over the best structure of this formula in the dataset = 0.000 eV/atom; final energy = -32.231 eV/cell
1.0
2.2122 1.2772 18.1010
-2.2122 1.2772 18.1010
0.0000 -2.5545 18.1010
K H Cl
5 1 4
Direct
0.0000 0.0000 0.0000
0.1957 0.1957 0.1957
0.4023 0.4023 0.4023
0.5977 0.5977 0.5977
0.8043 0.8043 0.8043
0.5000 0.5000 0.5000
0.1034 0.1034 0.1034
0.2989 0.2989 0.2989
0.7011 0.7011 0.7011
0.8966 0.8966 0.8966

(3)
K3HCl2 (PBE-GGA, relaxed); density = 1.74 g/cm3; excess energy over the best structure of this formula in the dataset = 0.005 eV/atom; final energy = -36.946 eV/cell
1.0
4.4214 0.0000 0.0000
0.0000 4.4214 0.0000
0.0000 0.0000 18.4973
K H Cl
6 2 4
Direct
0.0000 0.0000 0.0000
0.0000 0.0000 0.3405
0.0000 0.0000 0.6595
0.5000 0.5000 0.1595
0.5000 0.5000 0.5000
0.5000 0.5000 0.8405
0.0000 0.0000 0.5000
0.5000 0.5000 0.0000
0.0000 0.0000 0.1665
0.0000 0.0000 0.8335
0.5000 0.5000 0.3335
0.5000 0.5000 0.6665

(4)
K3H2Cl8 (PBE-GGA, relaxed); density = 2.02 g/cm3; final energy = -36.257 eV/cell
1.0
3.1488 1.8179 9.6293
-3.1488 1.8179 9.6293
0.0000 -3.6359 9.6293
K H Cl
3 2 8
Direct
0.0000 0.0000 0.0000
0.2002 0.2002 0.2002
0.7998 0.7998 0.7998
0.3693 0.3693 0.3693
0.6307 0.6307 0.6307
0.2295 0.7327 0.7327
0.2673 0.2673 0.7705
0.2673 0.7705 0.2673
0.3240 0.3240 0.3240
0.6760 0.6760 0.6760
0.7327 0.2295 0.7327
0.7327 0.7327 0.2295
0.7705 0.2673 0.2673

(5)
K8H4Cl3 (PBE-GGA, relaxed); density = 1.54 g/cm3; final energy = -40.314 eV/cell
1.0
6.1132 -6.1087 0.0000
6.1132 6.1087 0.0000
-6.0931 0.0000 6.1252
K H Cl
8 4 3
Direct
0.2320 0.2320 0.9803
0.2381 0.2381 0.4882
0.2414 0.7586 0.0000
0.2425 0.7575 0.5000
0.7575 0.2425 0.5000
0.7586 0.2414 0.0000
0.7619 0.7619 0.5118
0.7680 0.7680 0.0197
0.0000 0.0000 0.0000
0.0000 0.0000 0.5000
0.0000 0.5000 0.5000
0.5000 0.0000 0.5000
0.0000 0.5000 0.0000
0.5000 0.0000 0.0000
0.5000 0.5000 0.0000

(6)
KHCl2 (PBE-GGA, relaxed); density = 1.40 g/cm3; excess energy over the best structure of this formula in the dataset = 0.033 eV/atom; final energy = -52.189 eV/cell
1.0
6.1918 0.0000 0.0000
0.0000 5.6771 0.0000
-3.2428 0.0000 15.0196
K H Cl
4 4 8
Direct
0.1764 0.2398 0.1253
0.1764 0.7602 0.6253
0.8236 0.2398 0.3747
0.8236 0.7602 0.8747
0.2016 0.0788 0.8728
0.2016 0.9212 0.3728
0.7984 0.0788 0.6272
0.7984 0.9212 0.1272
0.0636 0.2620 0.9145
0.0636 0.7380 0.4145
0.3135 0.1317 0.3344
0.3135 0.8683 0.8344
0.6865 0.1317 0.1656
0.6865 0.8683 0.6656
0.9364 0.2620 0.5855
0.9364 0.7380 0.0855

(7)
K4H5Cl (PBE-GGA, relaxed); density = 1.24 g/cm3; final energy = -52.179 eV/cell
1.0
8.8972 0.0000 0.0000
0.0000 11.5400 0.0000
0.0000 0.0000 5.1241
K H Cl
8 10 2
Direct
0.0243 0.2500 0.0647
0.2500 0.5242 0.6089
0.2500 0.9758 0.6089
0.4757 0.2500 0.0647
0.5243 0.7500 0.9353
0.7500 0.0242 0.3911
0.7500 0.4758 0.3911
0.9757 0.7500 0.9353
0.0345 0.5009 0.0548
0.0345 0.9991 0.0548
0.2500 0.7500 0.7715
0.4655 0.5009 0.0548
0.4655 0.9991 0.0548
0.5345 0.0009 0.9452
0.5345 0.4991 0.9452
0.7500 0.2500 0.2285
0.9655 0.0009 0.9452
0.9655 0.4991 0.9452
0.2500 0.2500 0.5922
0.7500 0.7500 0.4078

(8)
KH2Cl2 (PBE-GGA, relaxed); density = 1.89 g/cm3; final energy = -30.464 eV/cell
1.0
4.0279 -3.0477 0.0000
4.0279 3.0477 0.0000
-0.7459 0.0000 8.0243
K H Cl
2 4 4
Direct
0.2489 0.7511 0.7500
0.7511 0.2489 0.2500
0.0352 0.5280 0.4685
0.4720 0.9648 0.0315
0.5280 0.0352 0.9685
0.9648 0.4720 0.5315
0.1258 0.6247 0.1252
0.3753 0.8742 0.3748
0.6247 0.1258 0.6252
0.8742 0.3753 0.8748

(9)
KH2Cl3 (PBE-GGA, relaxed); density = 1.44 g/cm3; excess energy over the best structure of this formula in the dataset = 0.017 eV/atom; final energy = -38.624 eV/cell
1.0
10.8831 -2.4937 0.0000
10.8831 2.4937 0.0000
-0.4776 0.0000 6.2675
K H Cl
2 4 6
Direct
0.1895 0.1895 0.2442
0.8105 0.8105 0.7558
0.1408 0.1408 0.7838
0.4211 0.4211 0.4507
0.5789 0.5789 0.5493
0.8592 0.8592 0.2162
0.0808 0.0808 0.8369
0.2250 0.2250 0.7416
0.4194 0.4194 0.6559
0.5806 0.5806 0.3441
0.7750 0.7750 0.2584
0.9192 0.9192 0.1631

(10)
KHCl2 (PBE-GGA, relaxed); density = 2.03 g/cm3; excess energy over the best structure of this formula in the dataset = 1.088 eV/atom; final energy = -35.312 eV/cell
1.0
7.1347 0.0000 0.0000
0.0000 7.1347 0.0000
0.0000 0.0000 7.1347
K H Cl
4 4 8
Direct
0.0000 0.0000 0.0000
0.0000 0.5000 0.5000
0.5000 0.0000 0.5000
0.5000 0.5000 0.0000
0.0000 0.0000 0.5000
0.0000 0.5000 0.0000
0.5000 0.0000 0.0000
0.5000 0.5000 0.5000
0.2500 0.2500 0.2500
0.2500 0.2500 0.7500
0.2500 0.7500 0.2500
0.2500 0.7500 0.7500
0.7500 0.2500 0.2500
0.7500 0.2500 0.7500
0.7500 0.7500 0.2500
0.7500 0.7500 0.7500

(11)
K2HCl (PBE-GGA, relaxed); density = 1.54 g/cm3; excess energy over the best structure of this formula in the dataset = 0.055 eV/atom; final energy = -45.819 eV/cell
1.0
7.4473 0.0000 0.0000
0.0000 7.4473 0.0000
0.0000 0.0000 8.9003
K H Cl
8 4 4
Direct
0.2056 0.7500 0.1250
0.2500 0.2056 0.8750
0.2500 0.2944 0.3750
0.2944 0.7500 0.6250
0.7056 0.2500 0.6250
0.7500 0.7056 0.3750
0.7500 0.7944 0.8750
0.7944 0.2500 0.1250
0.0000 0.0000 0.0000
0.0000 0.5000 0.2500
0.5000 0.0000 0.7500
0.5000 0.5000 0.5000
0.0000 0.0000 0.5000
0.0000 0.5000 0.7500
0.5000 0.0000 0.2500
0.5000 0.5000 0.0000

(12)
K2H2Cl (PBE-GGA, relaxed); density = 1.65 g/cm3; excess energy over the best structure of this formula in the dataset = 0.000 eV/atom; final energy = -27.184 eV/cell
1.0
7.9084 0.0000 0.0000
0.0000 7.9084 0.0000
0.0000 0.0000 3.7249
K H Cl
4 4 2
Direct
0.1955 0.3045 0.0000
0.3045 0.8045 0.0000
0.6955 0.1955 0.0000
0.8045 0.6955 0.0000
0.0387 0.5387 0.5000
0.4613 0.0387 0.5000
0.5387 0.9613 0.5000
0.9613 0.4613 0.5000
0.0000 0.0000 0.5000
0.5000 0.5000 0.5000

(13)
K2HCl (PBE-GGA, relaxed); density = 1.71 g/cm3; excess energy over the best structure of this formula in the dataset = 0.000 eV/atom; final energy = -35.023 eV/cell
1.0
4.2787 0.0000 0.0000
-2.1394 3.7055 0.0000
0.0000 0.0000 21.1089
K H Cl
6 3 3
Direct
0.0000 0.0000 0.2424
0.0000 0.0000 0.7576
0.3333 0.6667 0.4243
0.3333 0.6667 0.9090
0.6667 0.3333 0.0910
0.6667 0.3333 0.5757
0.0000 0.0000 0.5000
0.3333 0.6667 0.1667
0.6667 0.3333 0.8333
0.0000 0.0000 0.0000
0.3333 0.6667 0.6667
0.6667 0.3333 0.3333

(14)
KH2Cl3 (PBE-GGA, relaxed); density = 1.68 g/cm3; excess energy over the best structure of this formula in the dataset = 0.000 eV/atom; final energy = -38.830 eV/cell
1.0
5.3784 -3.9827 0.0000
5.3784 3.9827 0.0000
-2.5423 0.0000 6.7863
K H Cl
2 4 6
Direct
0.2434 0.7566 0.7500
0.7566 0.2434 0.2500
0.1924 0.5785 0.2841
0.4215 0.8076 0.2159
0.5785 0.1924 0.7841
0.8076 0.4215 0.7159
0.1519 0.8481 0.2500
0.2366 0.3825 0.3358
0.3825 0.2366 0.8358
0.6175 0.7634 0.1642
0.7634 0.6175 0.6642
0.8481 0.1519 0.7500

(15)
K2HCl (PBE-GGA, relaxed); density = 1.91 g/cm3; excess energy over the best structure of this formula in the dataset = 0.089 eV/atom; final energy = -45.267 eV/cell
1.0
7.3606 0.0000 0.0000
0.0000 7.3606 0.0000
0.0000 0.0000 7.3606
K H Cl
8 4 4
Direct
0.2500 0.2500 0.2500
0.2500 0.2500 0.7500
0.2500 0.7500 0.2500
0.2500 0.7500 0.7500
0.7500 0.2500 0.2500
0.7500 0.2500 0.7500
0.7500 0.7500 0.2500
0.7500 0.7500 0.7500
0.0000 0.0000 0.0000
0.0000 0.5000 0.5000
0.5000 0.0000 0.5000
0.5000 0.5000 0.0000
0.0000 0.0000 0.5000
0.0000 0.5000 0.0000
0.5000 0.0000 0.0000
0.5000 0.5000 0.5000

(16)
KHCl2 (PBE-GGA, relaxed); density = 1.46 g/cm3; excess energy over the best structure of this formula in the dataset = 0.001 eV/atom; final energy = -26.351 eV/cell
1.0
4.9189 0.0000 0.0000
-2.4595 4.2599 0.0000
0.0000 0.0000 12.0561
K H Cl
2 2 4
Direct
0.0000 0.0000 0.0000
0.0000 0.0000 0.5000
0.3333 0.6667 0.2500
0.6667 0.3333 0.7500
0.3333 0.6667 0.1208
0.3333 0.6667 0.3792
0.6667 0.3333 0.6208
0.6667 0.3333 0.8792

(17)
KMgHCl2 (PBE-GGA, relaxed); density = 2.16 g/cm3; final energy = -16.559 eV/cell
1.0
5.1968 0.0000 0.0000
0.0000 5.1968 0.0000
0.0000 0.0000 3.8442
K Mg H Cl
1 1 1 2
Direct
0.0000 0.0000 0.0000
0.5000 0.5000 0.5000
0.5000 0.5000 0.0000
0.0000 0.5000 0.5000
0.5000 0.0000 0.5000

(18)
KMgH2Cl (PBE-GGA, relaxed); density = 1.89 g/cm3; final energy = -15.009 eV/cell
1.0
4.1710 0.0000 0.0000
0.0000 4.1710 0.0000
0.0000 0.0000 5.1050
K Mg H Cl
1 1 2 1
Direct
0.0000 0.0000 0.0000
0.5000 0.5000 0.5000
0.0000 0.5000 0.5000
0.5000 0.0000 0.5000
0.5000 0.5000 0.0000